# 1
Below is a relaxed structure of Nd2ClO, with properties calculated at the GGA-PBE level.

Computed properties:
Offset from the most stable computed form in meV/atom: 163.3
D(E_F) in states/eV per atom: 0.80
Formation energy without anion corrections in eV per atom: -1.83
E in eV/atom: -5.916

abc: 3.4749 3.4749 8.0144
angles: 77.46 77.46 59.99
Last column: magnetic moment on the atom in μB.
Fractional coordinates of all 4 atoms:
1 Nd 0.2377 0.2377 0.2870  0.12
2 Cl 0.6660 0.6660 0.0017  0.00
3 Nd 0.0953 0.0953 0.7142  0.05
4 O 0.5010 0.5010 0.4971  0.01

# 2
Below is a relaxed structure of Nd2ClO, with properties calculated at the GGA-PBE level.

Computed properties:
Offset from the most stable computed form in meV/atom: 0.0
D(E_F) in states/eV per atom: 0.76
Formation energy without anion corrections in eV per atom: -1.99
E in eV/atom: -6.080

abc: 3.6297 3.6297 7.4311
angles: 75.86 75.86 60.00
Fractional coordinates of all 4 atoms:
1 Nd 0.7315 0.7315 0.8056
2 Cl 0.5000 0.5000 0.5000
3 Nd 0.2685 0.2685 0.1944
4 O 0.0000 0.0000 0.0000

# 3
Below is a relaxed structure of Nd3OsCl2O6, with properties calculated at the GGA-PBE level.

Computed properties:
D(E_F) in states/eV per atom: 0.13
Formation energy without anion corrections in eV per atom: -2.08
E in eV/atom: -6.994

abc: 5.6344 6.7163 6.7703
angles: 119.74 82.57 90.00
Last column: magnetic moment on the atom in μB.
Fractional coordinates of all 12 atoms:
1 O 0.6719 0.8410 0.6819  0.12
2 O 0.3015 0.7126 0.8886  0.10
3 Nd 0.0000 0.5000 0.0000  0.03
4 O 0.3015 0.1760 0.8886  0.10
5 Os 0.5000 0.0000 0.0000  1.93
6 Cl 0.1295 0.7146 0.4292  0.00
7 O 0.6985 0.2874 0.1114  0.10
8 O 0.3281 0.1590 0.3181  0.12
9 Nd 0.5000 0.5000 0.5000  0.03
10 O 0.6985 0.8240 0.1114  0.10
11 Nd 0.5000 0.0000 0.5000  0.03
12 Cl 0.8705 0.2854 0.5708  0.00

# 4
Below is a relaxed structure of Nd6Os2Cl3O, with properties calculated at the GGA-PBE level.

Computed properties:
D(E_F) in states/eV per atom: 0.73
Formation energy without anion corrections in eV per atom: -1.21
E in eV/atom: -6.339

abc: 6.8971 6.8971 7.8630
angles: 98.45 98.45 120.04
Fractional coordinates of all 12 atoms:
1 Os 0.3332 0.6668 0.0000
2 Nd 0.9334 0.6139 0.8008
3 Nd 0.3861 0.0666 0.1992
4 Nd 0.6139 0.9334 0.8008
5 O 0.0000 0.0000 0.0000
6 Cl 0.1670 0.8330 0.5000
7 Cl 0.8330 0.1670 0.5000
8 Nd 0.2520 0.2520 0.8027
9 Cl 0.5000 0.5000 0.5000
10 Os 0.6668 0.3332 0.0000
11 Nd 0.7480 0.7480 0.1973
12 Nd 0.0666 0.3861 0.1992

# 5
Below is a relaxed structure of Nd4PClO8, with properties calculated at the GGA-PBE level.

Computed properties:
D(E_F) in states/eV per atom: 0.00
Formation energy without anion corrections in eV per atom: -3.13
E in eV/atom: -7.845

abc: 5.8482 5.8644 13.0907
angles: 90.00 90.00 90.00
Fractional coordinates of all 28 atoms:
1 Nd 0.5644 0.9849 0.6618
2 O 0.7962 0.2414 0.2485
3 O 0.1205 0.4345 0.0958
4 O 0.7421 0.4760 0.0000
5 O 0.1205 0.4345 0.9042
6 Nd 0.0644 0.0151 0.1618
7 O 0.2421 0.5240 0.5000
8 O 0.6205 0.5655 0.5958
9 Nd 0.0644 0.0151 0.8382
10 O 0.6205 0.5655 0.4042
11 P 0.5031 0.4639 0.5000
12 O 0.2962 0.7586 0.7485
13 Nd 0.5338 0.4894 0.1690
14 Cl 0.4795 0.0257 0.0000
15 O 0.0228 0.8014 0.0000
16 O 0.8029 0.7563 0.2320
17 O 0.7962 0.2414 0.7515
18 O 0.3029 0.2437 0.7320
19 Nd 0.5644 0.9849 0.3382
20 O 0.8029 0.7563 0.7680
21 O 0.3029 0.2437 0.2680
22 P 0.0031 0.5361 0.0000
23 O 0.5228 0.1986 0.5000
24 Nd 0.0338 0.5106 0.3310
25 O 0.2962 0.7586 0.2515
26 Cl 0.9795 0.9743 0.5000
27 Nd 0.5338 0.4894 0.8310
28 Nd 0.0338 0.5106 0.6690

# 6
Below is a relaxed structure of NdPb2ClO4, with properties calculated at the GGA-PBE level.

Computed properties:
D(E_F) in states/eV per atom: 0.45
Formation energy without anion corrections in eV per atom: -1.64
E in eV/atom: -5.873

abc: 4.0577 4.0577 8.9372
angles: 90.00 90.00 90.00
Fractional coordinates of all 8 atoms:
1 O 0.5000 0.0000 0.1566
2 O 0.5000 0.0000 0.8434
3 O 0.0000 0.5000 0.8434
4 Nd 0.0000 0.0000 0.0000
5 Pb 0.5000 0.5000 0.2772
6 O 0.0000 0.5000 0.1566
7 Cl 0.0000 0.0000 0.5000
8 Pb 0.5000 0.5000 0.7228

# 7
Below is a relaxed structure of Pr2NdClO4, with properties calculated at the GGA-PBE level.

Computed properties:
D(E_F) in states/eV per atom: 0.00
Formation energy without anion corrections in eV per atom: -3.11
E in eV/atom: -7.615

abc: 4.0610 4.0610 9.3900
angles: 90.00 90.00 90.00
Fractional coordinates of all 8 atoms:
1 Nd 0.0000 0.0000 0.0000
2 O 0.0000 0.5000 0.1547
3 Pr 0.5000 0.5000 0.7349
4 O 0.5000 0.0000 0.8453
5 Cl 0.0000 0.0000 0.5000
6 O 0.0000 0.5000 0.8453
7 Pr 0.5000 0.5000 0.2651
8 O 0.5000 0.0000 0.1547

# 8
Below is a relaxed structure of NdPu2ClO4, with properties calculated at the GGA-PBE level.

Computed properties:
D(E_F) in states/eV per atom: 1.88
Formation energy without anion corrections in eV per atom: -2.90
E in eV/atom: -9.784

abc: 3.9921 3.9921 9.0039
angles: 90.00 90.00 90.00
Last column: magnetic moment on the atom in μB.
Fractional coordinates of all 8 atoms:
1 O 0.0000 0.5000 0.8364  -0.08
2 O 0.0000 0.5000 0.1636  -0.08
3 Pu 0.5000 0.5000 0.7267  4.96
4 O 0.5000 0.0000 0.8364  -0.08
5 O 0.5000 0.0000 0.1636  -0.08
6 Cl 0.0000 0.0000 0.5000  -0.01
7 Pu 0.5000 0.5000 0.2733  4.96
8 Nd 0.0000 0.0000 0.0000  0.03

# 9
Below is a relaxed structure of Nd6Ru2Cl3O, with properties calculated at the GGA-PBE level.

Computed properties:
D(E_F) in states/eV per atom: 0.67
Formation energy without anion corrections in eV per atom: -1.27
E in eV/atom: -6.079

abc: 6.8323 6.8323 7.8801
angles: 98.35 98.35 120.00
Fractional coordinates of all 12 atoms:
1 Nd 0.7491 0.7491 0.1977
2 Ru 0.6663 0.3337 0.0000
3 Cl 0.8310 0.1690 0.5000
4 Nd 0.3864 0.0669 0.1988
5 Nd 0.9331 0.6136 0.8012
6 Nd 0.6136 0.9331 0.8012
7 Cl 0.5000 0.5000 0.5000
8 Cl 0.1690 0.8310 0.5000
9 Nd 0.0669 0.3864 0.1988
10 Nd 0.2509 0.2509 0.8023
11 Ru 0.3337 0.6663 0.0000
12 O 0.0000 0.0000 0.0000

# 10
Below is a relaxed structure of Nd3SbCl2O6, with properties calculated at the GGA-PBE level.

Computed properties:
Formation energy without anion corrections in eV per atom: -2.26
E in eV/atom: -6.577

abc: 5.5921 6.7738 6.8968
angles: 119.41 82.72 90.00
Fractional coordinates of all 12 atoms:
1 Nd 0.5000 0.5000 0.5000
2 O 0.2986 0.1761 0.8816
3 O 0.7014 0.2945 0.1184
4 O 0.2986 0.7055 0.8816
5 Cl 0.8688 0.2892 0.5784
6 Cl 0.1312 0.7108 0.4216
7 O 0.6722 0.8414 0.6828
8 O 0.7014 0.8239 0.1184
9 O 0.3278 0.1586 0.3172
10 Nd 0.0000 0.5000 0.0000
11 Sb 0.5000 0.0000 0.0000
12 Nd 0.5000 0.0000 0.5000

# 11
Below is a relaxed structure of Nd7Se4Cl3O17, with properties calculated at the GGA-PBE level.

Computed properties:
D(E_F) in states/eV per atom: 0.00
Formation energy without anion corrections in eV per atom: -2.38
E in eV/atom: -6.801

abc: 7.0404 9.7967 15.8302
angles: 88.06 81.93 82.50
Fractional coordinates of all 62 atoms:
1 Se 0.6562 0.7147 0.4959
2 Cl 0.8650 0.6086 0.8281
3 Se 0.6809 0.4361 0.6653
4 O 0.1341 0.6899 0.3100
5 O 0.9954 0.8512 0.9922
6 O 0.8108 0.1469 0.2569
7 O 0.1690 0.2208 0.4568
8 Nd 0.6031 0.1543 0.8108
9 Nd 0.1392 0.8447 0.4534
10 Se 0.3703 0.7192 0.7649
11 O 0.9185 0.0336 0.4161
12 O 0.0046 0.1488 0.0078
13 O 0.4739 0.8583 0.5034
14 O 0.6863 0.0505 0.6646
15 Cl 0.8465 0.4093 0.3696
16 Nd 0.1195 0.1546 0.3086
17 O 0.7021 0.8729 0.2366
18 O 0.5836 0.9607 0.0748
19 Nd 0.3621 0.1607 0.0525
20 O 0.3449 0.6227 0.4317
21 Nd 0.8608 0.1553 0.5466
22 O 0.5261 0.1417 0.4966
23 O 0.0579 0.7610 0.1460
24 Se 0.8673 0.2881 0.9604
25 Nd 0.1333 0.0022 0.8715
26 O 0.1868 0.0447 0.1684
27 O 0.8132 0.9553 0.8316
28 O 0.1892 0.8531 0.7431
29 O 0.4164 0.0393 0.9252
30 Nd 0.8667 0.9978 0.1285
31 O 0.6065 0.2186 0.1380
32 Se 0.1327 0.7119 0.0396
33 Cl 0.2677 0.3850 0.9171
34 Nd 0.3969 0.8457 0.1892
35 Nd 0.1529 0.3563 0.7474
36 O 0.4942 0.3781 0.7356
37 Nd 0.6379 0.8393 0.9475
38 O 0.4491 0.2186 0.3052
39 Se 0.6297 0.2808 0.2351
40 O 0.3137 0.9495 0.3354
41 O 0.3509 0.7705 0.0380
42 Nd 0.6217 0.9929 0.3657
43 O 0.2476 0.2507 0.6083
44 O 0.6491 0.2295 0.9620
45 O 0.8310 0.7792 0.5432
46 O 0.5058 0.6219 0.2644
47 Cl 0.7323 0.6150 0.0829
48 Nd 0.8471 0.6437 0.2526
49 O 0.6551 0.3773 0.5683
50 O 0.0815 0.9664 0.5839
51 Nd 0.8805 0.8454 0.6914
52 O 0.8659 0.3101 0.6900
53 Nd 0.3783 0.0071 0.6343
54 O 0.7524 0.7493 0.3917
55 Cl 0.1535 0.5907 0.6304
56 O 0.3935 0.7814 0.8620
57 O 0.9421 0.2390 0.8540
58 Se 0.3191 0.5639 0.3347
59 O 0.5509 0.7814 0.6948
60 Cl 0.1350 0.3914 0.1719
61 O 0.2979 0.1271 0.7634
62 Se 0.3438 0.2853 0.5041

# 12
Below is a relaxed structure of NdSeClO3, with properties calculated at the GGA-PBE level.

Computed properties:
D(E_F) in states/eV per atom: 0.00
Formation energy without anion corrections in eV per atom: -1.98
E in eV/atom: -6.144

abc: 5.4276 11.3633 13.6161
angles: 90.00 90.00 90.00
Fractional coordinates of all 48 atoms:
1 O 0.2500 0.6587 0.5586
2 O 0.4962 0.2466 0.6120
3 Cl 0.7500 0.8379 0.6977
4 O 0.7500 0.3413 0.4414
5 O 0.4990 0.5594 0.7078
6 Cl 0.7500 0.5107 0.0673
7 Cl 0.2500 0.4893 0.9327
8 O 0.4962 0.7466 0.8880
9 Cl 0.7500 0.0107 0.4327
10 Se 0.2500 0.6537 0.6830
11 O 0.0038 0.7466 0.8880
12 Se 0.2500 0.7623 0.9687
13 Se 0.2500 0.1537 0.8170
14 Nd 0.7500 0.9308 0.8987
15 O 0.0010 0.5594 0.7078
16 Cl 0.7500 0.3379 0.8023
17 Cl 0.2500 0.6621 0.1977
18 O 0.2500 0.1587 0.9414
19 O 0.5038 0.2534 0.1120
20 Nd 0.2500 0.5692 0.3987
21 Se 0.7500 0.2377 0.0313
22 Se 0.2500 0.2623 0.5313
23 Cl 0.2500 0.9893 0.5673
24 Nd 0.7500 0.0752 0.6440
25 Nd 0.7500 0.4308 0.6013
26 Nd 0.2500 0.0692 0.1013
27 O 0.2500 0.4166 0.5275
28 O 0.4990 0.0594 0.7922
29 O 0.0038 0.2466 0.6120
30 Se 0.7500 0.7377 0.4687
31 Se 0.7500 0.3463 0.3170
32 O 0.5038 0.7534 0.3880
33 O 0.2500 0.9166 0.9725
34 Nd 0.7500 0.5752 0.8560
35 O 0.9962 0.7534 0.3880
36 O 0.9990 0.4406 0.2922
37 Se 0.7500 0.8463 0.1830
38 O 0.9990 0.9406 0.2078
39 O 0.5010 0.4406 0.2922
40 O 0.7500 0.8413 0.0586
41 Nd 0.2500 0.9248 0.3560
42 O 0.7500 0.0834 0.0275
43 O 0.7500 0.5834 0.4725
44 O 0.5010 0.9406 0.2078
45 Cl 0.2500 0.1621 0.3023
46 Nd 0.2500 0.4248 0.1440
47 O 0.0010 0.0594 0.7922
48 O 0.9962 0.2534 0.1120

# 13
Below is a relaxed structure of Nd3TaCl6O4, with properties calculated at the GGA-PBE level.

Computed properties:
D(E_F) in states/eV per atom: 0.00
Formation energy without anion corrections in eV per atom: -2.67
E in eV/atom: -6.746

abc: 12.9041 12.9041 3.9498
angles: 90.00 90.00 120.00
Fractional coordinates of all 28 atoms:
1 Cl 0.7542 0.8985 0.7500
2 O 0.4935 0.6949 0.7500
3 Cl 0.4384 0.0674 0.7500
4 O 0.6667 0.3333 0.7500
5 Cl 0.0674 0.6291 0.2500
6 Cl 0.8985 0.1443 0.2500
7 Ta 0.3333 0.6667 0.7500
8 Nd 0.7227 0.1159 0.7500
9 Nd 0.8841 0.6068 0.7500
10 O 0.6949 0.2015 0.2500
11 Cl 0.1443 0.2458 0.7500
12 O 0.2015 0.5065 0.7500
13 Nd 0.3932 0.2773 0.7500
14 O 0.3333 0.6667 0.2500
15 Cl 0.1015 0.8557 0.7500
16 O 0.3051 0.7985 0.7500
17 Cl 0.3709 0.4384 0.2500
18 O 0.7985 0.4935 0.2500
19 Cl 0.8557 0.7542 0.2500
20 Cl 0.6291 0.5616 0.7500
21 Ta 0.6667 0.3333 0.2500
22 O 0.5065 0.3051 0.2500
23 Cl 0.9326 0.3709 0.7500
24 Nd 0.1159 0.3932 0.2500
25 Cl 0.2458 0.1015 0.2500
26 Nd 0.6068 0.7227 0.2500
27 Cl 0.5616 0.9326 0.2500
28 Nd 0.2773 0.8841 0.2500

# 14
Below is a relaxed structure of Nd3TaCl3O6, with properties calculated at the GGA-PBE level.

Computed properties:
D(E_F) in states/eV per atom: 0.44
Formation energy without anion corrections in eV per atom: -2.82
E in eV/atom: -7.548

abc: 9.4978 9.4978 5.3193
angles: 90.00 90.00 120.00
Last column: magnetic moment on the atom in μB.
Fractional coordinates of all 26 atoms:
1 O 0.6356 0.1571 0.9880  0.13
2 Nd 0.0898 0.6868 0.7500  0.00
3 Cl 0.9486 0.1895 0.7500  0.01
4 Cl 0.8105 0.7590 0.7500  0.01
5 O 0.4785 0.6356 0.0120  0.13
6 O 0.8429 0.4785 0.9880  0.13
7 O 0.3644 0.8429 0.0120  0.13
8 O 0.1571 0.5215 0.0120  0.13
9 Cl 0.0514 0.8105 0.2500  0.01
10 Nd 0.5970 0.9102 0.7500  0.00
11 Nd 0.9102 0.3132 0.2500  0.00
12 O 0.3644 0.8429 0.4880  0.13
13 Nd 0.6868 0.5970 0.2500  0.00
14 O 0.5215 0.3644 0.5120  0.13
15 Cl 0.7590 0.9486 0.2500  0.01
16 Nd 0.3132 0.4030 0.7500  0.00
17 Cl 0.2410 0.0514 0.7500  0.01
18 O 0.5215 0.3644 0.9880  0.13
19 Cl 0.1895 0.2410 0.2500  0.01
20 O 0.6356 0.1571 0.5120  0.13
21 Ta 0.6667 0.3333 0.7500  -0.03
22 O 0.4785 0.6356 0.4880  0.13
23 Ta 0.3333 0.6667 0.2500  -0.03
24 O 0.1571 0.5215 0.4880  0.13
25 Nd 0.4030 0.0898 0.2500  0.00
26 O 0.8429 0.4785 0.5120  0.13

# 15
Below is a relaxed structure of NdTaClO4, with properties calculated at the GGA-PBE level.

Computed properties:
D(E_F) in states/eV per atom: 0.00
Formation energy without anion corrections in eV per atom: -2.60
E in eV/atom: -8.068

abc: 6.9492 6.9492 7.2353
angles: 78.34 78.34 60.39
Fractional coordinates of all 14 atoms:
1 O 0.5191 0.5191 0.2317
2 Ta 0.6399 0.6399 0.7258
3 O 0.4923 0.8927 0.8575
4 O 0.4809 0.4809 0.7683
5 O 0.8927 0.4923 0.8575
6 O 0.1073 0.5077 0.1425
7 Nd 0.7134 0.7134 0.1503
8 Cl 0.0214 0.0214 0.1250
9 O 0.5077 0.1073 0.1425
10 O 0.7094 0.7094 0.4696
11 Ta 0.3601 0.3601 0.2742
12 Nd 0.2866 0.2866 0.8497
13 Cl 0.9786 0.9786 0.8750
14 O 0.2906 0.2906 0.5304

# 16
Below is a relaxed structure of Nd3TcCl2O6, with properties calculated at the GGA-PBE level.

Computed properties:
D(E_F) in states/eV per atom: 0.48
Formation energy without anion corrections in eV per atom: -2.19
E in eV/atom: -7.034

abc: 5.6506 6.7340 6.7555
angles: 119.89 82.05 90.00
Last column: magnetic moment on the atom in μB.
Fractional coordinates of all 12 atoms:
1 O 0.3011 0.7105 0.8875  0.03
2 O 0.6989 0.8230 0.1125  0.03
3 Nd 0.5000 0.0000 0.5000  0.03
4 O 0.6694 0.8413 0.6825  0.03
5 O 0.3306 0.1587 0.3175  0.03
6 Cl 0.8689 0.2850 0.5700  0.00
7 O 0.3011 0.1770 0.8875  0.03
8 Tc 0.5000 0.0000 0.0000  1.52
9 Nd 0.5000 0.5000 0.5000  0.03
10 Cl 0.1311 0.7150 0.4300  0.00
11 O 0.6989 0.2895 0.1125  0.03
12 Nd 0.0000 0.5000 0.0000  0.02